The following is a PBE calculation of a relaxed structure of Al4Ni, from OQMD.

uncorrected energy	-0.3078	Ry per atom

Geometry as POSCAR:
```
Al4Ni
1.0
9.2722 0.0000 0.0000
0.0000 9.2722 0.0000
0.0000 0.0000 5.2673
Al Ni
24 6
Direct
0.0520 0.3554 0.0000
0.0747 0.2659 0.5000
0.1446 0.5520 0.5000
0.1563 0.8437 0.2410
0.1563 0.8437 0.7590
0.2341 0.5747 0.0000
0.2659 0.0747 0.5000
0.3437 0.3437 0.2590
0.3437 0.3437 0.7410
0.3554 0.0520 0.0000
0.4253 0.7659 0.0000
0.4480 0.8554 0.5000
0.5520 0.1446 0.5000
0.5747 0.2341 0.0000
0.6446 0.9480 0.0000
0.6563 0.6563 0.2590
0.6563 0.6563 0.7410
0.7341 0.9253 0.5000
0.7659 0.4253 0.0000
0.8437 0.1563 0.2410
0.8437 0.1563 0.7590
0.8554 0.4480 0.5000
0.9253 0.7341 0.5000
0.9480 0.6446 0.0000
0.0000 0.0000 0.5000
0.0938 0.0938 0.0000
0.4062 0.5938 0.5000
0.5000 0.5000 0.0000
0.5938 0.4062 0.5000
0.9062 0.9062 0.0000
```